Na4MgCdGe2 (PBE-GGA, relaxed); ρ = 3.18 g/cm3; total energy = -18.21 eV/cell; symmetry = P-6m2
1.0
-4.700 0.960 -0.375
2.035 -3.237 -2.921
-1.949 -7.030 6.432
Cd Ge Mg Na
1 2 1 4
direct
0.000 0.000 0.000
0.333 0.667 0.000
0.667 0.333 0.500
0.000 0.000 0.500
0.667 0.333 0.172
0.333 0.667 0.329
0.333 0.667 0.671
0.667 0.333 0.828